## Mg2GaCuPb (PBE)

Data for an optimized crystal structure of Mg2GaCuPb.

Fermi-level density of states = 1.85 states/eV/f.u.
energy relative to the elements = 53 meV per atom

Cell: 5.0121 5.0121 4.5851 Å, 90.00 90.00 90.00°
Last column: nearest neighbours and their distance in Å.
Sites, in units of the cell vectors:
Mg 0.0000 0.5000 0.0000  2 Cu 2.51
Mg 0.5000 0.0000 0.0000  2 Cu 2.51
Ga 0.0000 0.0000 0.5000  2 Cu 2.29
Cu 0.0000 0.0000 0.0000  2 Ga 2.29, 4 Mg 2.51
Pb 0.5000 0.5000 0.5000  8 Mg 3.40, 4 Ga 3.54



## Tm5Hg2Bi (PBE)

Data for an optimized crystal structure of Tm5Hg2Bi.

Fermi-level density of states = 3.40 states/eV/f.u.
energy relative to the elements = -472 meV per atom

Cell: 8.7212 8.7212 8.7212 Å, 124.09 124.09 83.06°
Last column: nearest neighbours and their distance in Å.
Sites, in units of the cell vectors:
Tm 0.0000 0.0000 0.0000  4 Hg 3.15, 2 Bi 3.26
Tm 0.0049 0.5049 0.8032  3 Hg 3.06-3.07, 2 Bi 3.39
Tm 0.2017 0.0049 0.5000  3 Hg 3.06-3.07, 2 Bi 3.39
Tm 0.2983 0.7983 0.8032  3 Hg 3.06-3.07, 2 Bi 3.39
Tm 0.4951 0.2983 0.5000  3 Hg 3.06-3.07, 2 Bi 3.39
Tm 0.5000 0.5000 0.0000  4 Hg 3.15, 2 Bi 3.26
Tm 0.5049 0.7017 0.5000  3 Hg 3.06-3.07, 2 Bi 3.39
Tm 0.7017 0.2017 0.1968  3 Hg 3.06-3.07, 2 Bi 3.39
Tm 0.7983 0.9951 0.5000  3 Hg 3.06-3.07, 2 Bi 3.39
Tm 0.9951 0.4951 0.1968  3 Hg 3.06-3.07, 2 Bi 3.39
Hg 0.1419 0.3581 0.5000  8 Tm 3.06-3.15, 1 Hg 3.28
Hg 0.3581 0.8581 0.2162  8 Tm 3.06-3.15, 1 Hg 3.28
Hg 0.6419 0.1419 0.7838  8 Tm 3.06-3.15, 1 Hg 3.28
Hg 0.8581 0.6419 0.5000  8 Tm 3.06-3.15, 1 Hg 3.28
Bi 0.2500 0.2500 0.0000  10 Tm 3.26-3.39
Bi 0.7500 0.7500 0.0000  10 Tm 3.26-3.39



## NbZnB2Pb (PBE)

Data for an optimized crystal structure of NbZnB2Pb.

Fermi-level density of states = 5.57 states/eV/f.u.
energy relative to the elements = 2331 meV per atom

Cell: 4.4118 4.4118 5.1011 Å, 90.00 90.00 90.00°
Last column: nearest neighbours and their distance in Å.
Sites, in units of the cell vectors:
Nb 0.0000 0.0000 0.0000  4 Zn 3.12, 8 B 3.37
Zn 0.5000 0.5000 0.0000  2 Pb 2.55
B 0.0000 0.5000 0.5000  2 Pb 2.21
B 0.5000 0.0000 0.5000  2 Pb 2.21
Pb 0.5000 0.5000 0.5000  4 B 2.21



## Al2CrHg (PBE)

Data for an optimized crystal structure of Al2CrHg.

Fermi-level density of states = 2.39 states/eV/f.u.
energy relative to the elements = 195 meV per atom

Cell: 4.7838 3.0858 4.9251 Å, 90.00 110.38 90.00°
Last column: nearest neighbours and their distance in Å.
Sites, in units of the cell vectors:
Al 0.0000 0.0000 0.0000  2 Cr 2.77, 4 Hg 2.85, 6 Al 2.91-3.09
Al 0.0000 0.5000 0.5000  2 Hg 2.77, 4 Cr 2.85, 6 Al 2.91-3.09
Cr 0.5000 0.0000 0.5000  6 Al 2.77-2.85, 4 Hg 2.91, 2 Cr 3.09
Hg 0.5000 0.5000 0.0000  6 Al 2.77-2.85, 4 Cr 2.91, 2 Hg 3.09



## NiHgBr2 (PBE)

Data for an optimized crystal structure of NiHgBr2.

excess energy over the best structure of this formula in the dataset = 70 meV/atom
formation energy from raw total energies = -0.168 eV per atom
Fermi-level density of states = 3.81 states/eV/f.u.

Cell: 6.5849 6.5849 6.5849 Å, 150.23 110.07 77.81°
Last column: nearest neighbours and their distance in Å.
Sites, in units of the cell vectors:
Ni 0.0000 0.0000 0.0000  4 Br 2.32
Hg 0.5000 0.5000 0.0000  2 Hg 3.38
Br 0.1553 0.6553 0.5000  2 Ni 2.32
Br 0.8447 0.3447 0.5000  2 Ni 2.32



## Sm6TlSe4 (PBE)

Data for an optimized crystal structure of Sm6TlSe4.

formation energy from raw total energies = -1.405 eV per atom
Fermi-level density of states = 8.35 states/eV/f.u.

Cell: 7.2477 7.2477 21.2752 Å, 90.00 90.00 146.68°
Last column: nearest neighbours and their distance in Å.
Sites, in units of the cell vectors:
Sm 0.0000 0.0000 0.0000  6 Se 2.91-2.95
Sm 0.0000 0.0000 0.5000  6 Se 2.91-2.95
Sm 0.1609 0.8391 0.7500  2 Se 2.87, 2 Tl 3.18
Sm 0.2725 0.7275 0.0844  5 Se 2.93-2.95
Sm 0.2725 0.7275 0.4156  5 Se 2.93-2.95
Sm 0.4558 0.5442 0.6624  3 Se 2.90-2.92
Sm 0.4558 0.5442 0.8376  3 Se 2.90-2.92
Sm 0.5442 0.4558 0.1624  3 Se 2.90-2.92
Sm 0.5442 0.4558 0.3376  3 Se 2.90-2.92
Sm 0.7275 0.2725 0.5844  5 Se 2.93-2.95
Sm 0.7275 0.2725 0.9156  5 Se 2.93-2.95
Sm 0.8391 0.1609 0.2500  2 Se 2.87, 2 Tl 3.18
Tl 0.1662 0.8338 0.2500  6 Sm 3.18-3.26
Tl 0.8338 0.1662 0.7500  6 Sm 3.18-3.26
Se 0.0909 0.9091 0.6233  6 Sm 2.87-2.93
Se 0.0909 0.9091 0.8767  6 Sm 2.87-2.93
Se 0.3623 0.6377 0.5403  6 Sm 2.90-2.95
Se 0.3623 0.6377 0.9597  6 Sm 2.90-2.95
Se 0.6377 0.3623 0.0403  6 Sm 2.90-2.95
Se 0.6377 0.3623 0.4597  6 Sm 2.90-2.95
Se 0.9091 0.0909 0.1233  6 Sm 2.87-2.93
Se 0.9091 0.0909 0.3767  6 Sm 2.87-2.93